No. 1
NaTa3Cl: optimized geometry, PBE. Values from VASP.

```
&SYSTEM
  ibrav = 0, nat = 5, ntyp = 3
/
ATOMIC_SPECIES
Na 22.99 Na.upf
Cl 35.45 Cl.upf
Ta 180.95 Ta.upf
ATOMIC_POSITIONS crystal
Na 0.500 0.500 0.500
Cl 0.000 0.000 0.000
Ta 0.000 0.500 0.000
Ta 0.000 0.000 0.500
Ta 0.500 0.000 0.000
CELL_PARAMETERS angstrom
-1.467 -4.366 0.404
3.228 -0.787 3.214
-2.966 1.302 3.298
```


No. 2
NaTa2Cl: optimized geometry, PBE. Values from VASP.

```
&SYSTEM
  ibrav = 0, nat = 4, ntyp = 3
/
ATOMIC_SPECIES
Na 22.99 Na.upf
Cl 35.45 Cl.upf
Ta 180.95 Ta.upf
ATOMIC_POSITIONS crystal
Na 0.000 0.000 0.000
Cl 0.500 0.500 0.500
Ta 0.250 0.250 0.250
Ta 0.750 0.750 0.750
CELL_PARAMETERS angstrom
-0.724 1.450 4.420
-2.504 3.903 0.817
-4.293 -0.313 1.907
```


No. 3
Na2TaCl7: optimized geometry, PBE. Values from VASP.

```
&SYSTEM
  ibrav = 0, nat = 20, ntyp = 3
/
ATOMIC_SPECIES
Na 22.99 Na.upf
Ta 180.95 Ta.upf
Cl 35.45 Cl.upf
ATOMIC_POSITIONS crystal
Na 0.703 0.018 0.573
Na 0.706 0.518 0.073
Na 0.294 0.482 0.927
Na 0.297 0.982 0.427
Ta 0.927 0.250 0.750
Ta 0.073 0.750 0.250
Cl 0.671 0.507 0.808
Cl 0.014 0.007 0.308
Cl 0.177 0.797 0.002
Cl 0.287 0.094 0.687
Cl 0.612 0.250 0.750
Cl 0.024 0.297 0.502
Cl 0.068 0.406 0.813
Cl 0.932 0.594 0.187
Cl 0.976 0.703 0.498
Cl 0.388 0.750 0.250
Cl 0.713 0.906 0.313
Cl 0.823 0.203 0.998
Cl 0.986 0.993 0.692
Cl 0.329 0.493 0.192
CELL_PARAMETERS angstrom
7.255 0.000 3.538
3.348 9.168 2.341
-0.344 -1.391 9.912
```


No. 4
NaTa2Cl: optimized geometry, PBE. Values from VASP.

```
&SYSTEM
  ibrav = 0, nat = 8, ntyp = 3
/
ATOMIC_SPECIES
Na 22.99 Na.upf
Cl 35.45 Cl.upf
Ta 180.95 Ta.upf
ATOMIC_POSITIONS crystal
Na 0.500 0.500 0.000
Na 0.250 0.750 0.500
Cl 0.000 0.000 0.000
Cl 0.750 0.250 0.500
Ta 0.624 0.125 0.250
Ta 0.126 0.625 0.250
Ta 0.375 0.376 0.750
Ta 0.875 0.874 0.750
CELL_PARAMETERS angstrom
-3.027 2.058 -0.806
-2.210 -2.844 1.038
-2.765 4.200 12.388
```


No. 5
Na2TaCl6: optimized geometry, PBE. Values from VASP.

```
&SYSTEM
  ibrav = 0, nat = 18, ntyp = 3
/
ATOMIC_SPECIES
Na 22.99 Na.upf
Ta 180.95 Ta.upf
Cl 35.45 Cl.upf
ATOMIC_POSITIONS crystal
Na 0.962 0.399 0.780
Na 0.538 0.899 0.720
Na 0.462 0.101 0.280
Na 0.038 0.601 0.220
Ta 0.500 0.500 0.000
Ta 0.000 0.000 0.500
Cl 0.850 0.950 0.274
Cl 0.845 0.717 0.574
Cl 0.788 0.682 0.941
Cl 0.712 0.182 0.559
Cl 0.655 0.217 0.926
Cl 0.650 0.450 0.226
Cl 0.150 0.050 0.726
Cl 0.155 0.283 0.426
Cl 0.212 0.318 0.059
Cl 0.288 0.818 0.441
Cl 0.345 0.783 0.074
Cl 0.350 0.550 0.774
CELL_PARAMETERS angstrom
-1.510 5.985 2.790
0.556 -2.876 6.470
9.820 1.684 -0.096
```


No. 6
Na2TaCl6: optimized geometry, PBE. Values from VASP.

```
&SYSTEM
  ibrav = 0, nat = 18, ntyp = 3
/
ATOMIC_SPECIES
Na 22.99 Na.upf
Ta 180.95 Ta.upf
Cl 35.45 Cl.upf
ATOMIC_POSITIONS crystal
Na 0.000 0.000 0.331
Na 0.500 0.500 0.831
Na 0.500 0.500 0.169
Na 0.000 0.000 0.669
Ta 0.000 0.000 0.000
Ta 0.500 0.500 0.500
Cl 0.313 0.313 0.355
Cl 0.687 0.687 0.355
Cl 0.187 0.813 0.855
Cl 0.813 0.187 0.855
Cl 0.187 0.813 0.145
Cl 0.813 0.187 0.145
Cl 0.313 0.313 0.645
Cl 0.687 0.687 0.645
Cl 0.267 0.267 0.000
Cl 0.733 0.733 0.000
Cl 0.233 0.767 0.500
Cl 0.767 0.233 0.500
CELL_PARAMETERS angstrom
6.363 0.000 0.000
0.000 6.363 0.000
0.000 0.000 12.135
```


No. 7
NaTaCl4: optimized geometry, PBE. Values from VASP.

```
&SYSTEM
  ibrav = 0, nat = 12, ntyp = 3
/
ATOMIC_SPECIES
Na 22.99 Na.upf
Ta 180.95 Ta.upf
Cl 35.45 Cl.upf
ATOMIC_POSITIONS crystal
Na 0.367 0.617 0.234
Na 0.633 0.383 0.766
Ta 0.250 0.000 0.999
Ta 0.750 0.000 0.001
Cl 0.391 0.285 0.998
Cl 0.831 0.833 0.670
Cl 0.106 0.712 0.998
Cl 0.338 0.837 0.670
Cl 0.662 0.163 0.330
Cl 0.894 0.288 0.002
Cl 0.169 0.167 0.330
Cl 0.609 0.715 0.002
CELL_PARAMETERS angstrom
6.347 -0.703 -1.643
-3.532 7.539 -3.657
0.122 -0.451 7.290
```


No. 8
Na2TaTlCl8: optimized geometry, PBE. Values from VASP.

```
&SYSTEM
  ibrav = 0, nat = 12, ntyp = 4
/
ATOMIC_SPECIES
Na 22.99 Na.upf
Ta 180.95 Ta.upf
Tl 204.38 Tl.upf
Cl 35.45 Cl.upf
ATOMIC_POSITIONS crystal
Na 0.449 0.418 0.700
Na 0.551 0.582 0.300
Ta 0.000 0.000 0.000
Tl 0.000 0.000 0.500
Cl 0.148 0.771 0.183
Cl 0.727 0.782 0.022
Cl 0.828 0.202 0.186
Cl 0.852 0.229 0.817
Cl 0.273 0.218 0.978
Cl 0.172 0.798 0.814
Cl 0.678 0.692 0.539
Cl 0.322 0.308 0.461
CELL_PARAMETERS angstrom
6.742 0.209 0.417
0.302 6.349 0.316
0.582 0.435 9.170
```


No. 9
Na2TaTlCl: optimized geometry, PBE. Values from VASP.

```
&SYSTEM
  ibrav = 0, nat = 5, ntyp = 4
/
ATOMIC_SPECIES
Na 22.99 Na.upf
Tl 204.38 Tl.upf
Cl 35.45 Cl.upf
Ta 180.95 Ta.upf
ATOMIC_POSITIONS crystal
Na 0.000 0.000 0.500
Na 0.500 0.000 0.000
Tl 0.000 0.000 0.000
Cl 0.000 0.500 0.000
Ta 0.500 0.500 0.500
CELL_PARAMETERS angstrom
5.837 0.000 0.000
0.000 5.594 0.000
0.000 0.000 5.837
```


No. 10
NaTa2TlCl: optimized geometry, PBE. Values from VASP.

```
&SYSTEM
  ibrav = 0, nat = 5, ntyp = 4
/
ATOMIC_SPECIES
Na 22.99 Na.upf
Tl 204.38 Tl.upf
Cl 35.45 Cl.upf
Ta 180.95 Ta.upf
ATOMIC_POSITIONS crystal
Na 0.500 0.500 0.500
Tl 0.000 0.500 0.000
Cl 0.000 0.000 0.000
Ta 0.000 0.000 0.500
Ta 0.500 0.000 0.000
CELL_PARAMETERS angstrom
-2.906 2.389 2.565
2.213 -2.497 4.832
3.056 3.358 0.335
```


No. 11
NaTaTlCl6: optimized geometry, PBE. Values from VASP.

```
&SYSTEM
  ibrav = 0, nat = 18, ntyp = 4
/
ATOMIC_SPECIES
Na 22.99 Na.upf
Ta 180.95 Ta.upf
Tl 204.38 Tl.upf
Cl 35.45 Cl.upf
ATOMIC_POSITIONS crystal
Na 0.333 0.667 0.250
Na 0.667 0.333 0.750
Ta 0.667 0.333 0.250
Ta 0.333 0.667 0.750
Tl 0.000 0.000 0.000
Tl 0.000 0.000 0.500
Cl 0.651 0.607 0.145
Cl 0.956 0.349 0.145
Cl 0.349 0.956 0.645
Cl 0.044 0.651 0.855
Cl 0.392 0.349 0.355
Cl 0.956 0.607 0.355
Cl 0.608 0.956 0.855
Cl 0.651 0.044 0.355
Cl 0.044 0.393 0.645
Cl 0.392 0.044 0.145
Cl 0.608 0.651 0.645
Cl 0.349 0.393 0.855
CELL_PARAMETERS angstrom
-6.375 -0.804 -2.785
2.319 -4.535 4.806
-5.205 7.631 9.712
```


No. 12
NaTbCl3: optimized geometry, PBE. Values from VASP.

```
&SYSTEM
  ibrav = 0, nat = 10, ntyp = 3
/
ATOMIC_SPECIES
Na 22.99 Na.upf
Tb 158.93 Tb.upf
Cl 35.45 Cl.upf
ATOMIC_POSITIONS crystal
Na 0.311 0.543 0.621
Na 0.689 0.043 0.379
Tb 0.967 0.952 0.935
Tb 0.033 0.452 0.065
Cl 0.885 0.305 0.771
Cl 0.115 0.805 0.229
Cl 0.530 0.176 0.059
Cl 0.470 0.676 0.941
Cl 0.817 0.818 0.635
Cl 0.183 0.318 0.365
CELL_PARAMETERS angstrom
-0.248 0.259 -4.070
4.825 -4.997 -0.611
-6.144 -6.182 2.032
```


Sequential energy output: -6.58, -5.22, -4.16, -6.17, -4.33, -4.32, -4.69, -4.02, -2.60, -4.88, -4.29, -4.12 eV/atom